A plane-wave DFT calculation with PBE+U was carried out for a geometry-optimized Ba2Co3O8 structure.

Properties
* total energy: -5.703 eV/atom
* symmetry: P4/mmm (123)

abc: 3.8138 3.8138 13.1649
angles: 90.00 90.00 90.00
Last column: nearest neighbours and their distance in Å.
Atoms (fractional coordinates):
O1 0.5000 0.0000 0.6624  2 Co 1.91
O2 0.0000 0.5000 0.6624  2 Co 1.91
O3 0.5000 0.0000 0.3376  2 Co 1.91
O4 0.0000 0.0000 0.8621  1 Co 1.82
O5 0.5000 0.0000 0.0000  2 Co 1.91
O6 0.0000 0.0000 0.1379  1 Co 1.82
O7 0.0000 0.5000 0.3376  2 Co 1.91
O8 0.0000 0.5000 0.0000  2 Co 1.91
Co1 0.0000 0.0000 0.0000  6 O 1.82-1.91
Co2 0.0000 0.0000 0.6533  4 O 1.91
Co3 0.0000 0.0000 0.3467  4 O 1.91
Ba1 0.5000 0.5000 0.8342  12 O 2.72-2.96
Ba2 0.5000 0.5000 0.1658  12 O 2.72-2.96